A plane-wave DFT calculation with PBE was carried out for a relaxed structure of LaSm2Cd.

Uncorrected energy: -15.691 eV/cell
Spin magnetization: 0.000 μB per atom
Energy of formation from the pure elements: -0.10 eV per atom
DOS(E_F): 1.59 states/eV per atom
Offset from the most stable computed form: 0.19 eV/f.u.

Lattice parameters (Å, degrees): 4.972 4.972 5.000 90.00 90.00 90.00
Space group P4/mmm (No. 123)
Inequivalent atoms, fractional coordinates:
La (0.000, 0.000, 0.000) [1 per cell]
Sm (0.000, 0.500, 0.500) [2 per cell]
Cd (0.500, 0.500, 0.000) [1 per cell]

A plane-wave DFT calculation with PBE was carried out for a relaxed structure of LaSm2Cd.

Uncorrected energy: -46.403 eV/cell
Spin magnetization: 0.000 μB per atom
Energy of formation from the pure elements: -0.05 eV per atom
DOS(E_F): 1.17 states/eV per atom
Offset from the most stable computed form: 0.41 eV/f.u.

Lattice parameters (Å, degrees): 3.6784 3.6784 33.4424 90.00 90.00 120.00
Space group R3m (No. 160, hexagonal axes)
Inequivalent atoms, fractional coordinates:
La (0.0000, 0.0000, 0.0000) [3 per cell]
Sm (0.0000, 0.0000, 0.5756) [3 per cell]
Sm (0.0000, 0.0000, 0.7585) [3 per cell]
Cd (0.0000, 0.0000, 0.1668) [3 per cell]

A plane-wave DFT calculation with PBE was carried out for a relaxed structure of La2SmCd6.

Uncorrected energy: -23.306 eV/cell
Spin magnetization: 0.046 μB per atom
Energy of formation from the pure elements: -0.36 eV per atom
DOS(E_F): 0.87 states/eV per atom

Lattice parameters (Å, degrees): 8.8660 8.8660 3.4899 90.00 90.00 120.00
Space group P6/mmm (No. 191)
Inequivalent atoms, fractional coordinates:
La (0.3333, 0.6667, 0.0000) [2 per cell]
Sm (0.0000, 0.0000, 0.0000) [1 per cell]
Cd (0.0000, 0.3303, 0.5000) [6 per cell]

A plane-wave DFT calculation with PBE was carried out for a relaxed structure of La2Sm3Cd.

Uncorrected energy: -47.317 eV/cell
Spin magnetization: 0.000 μB per atom
Energy of formation from the pure elements: 0.21 eV per atom
DOS(E_F): 1.52 states/eV per atom
Offset from the most stable computed form: 1.54 eV/f.u.

Lattice parameters (Å, degrees): 6.469 10.277 5.894 90.00 90.00 90.00
Space group Imm2 (No. 44)
Inequivalent atoms, fractional coordinates:
La (0.000, 0.166, 0.000) [4 per cell]
Sm (0.000, 0.000, 0.500) [2 per cell]
Sm (0.000, 0.344, 0.499) [4 per cell]
Cd (0.000, 0.500, 0.999) [2 per cell]

A plane-wave DFT calculation with PBE was carried out for a relaxed structure of La3Sm4Cd.

Uncorrected energy: -35.115 eV/cell
Spin magnetization: 0.000 μB per atom
Energy of formation from the pure elements: -0.07 eV per atom
DOS(E_F): 1.43 states/eV per atom

Lattice parameters (Å, degrees): 3.709 3.709 19.454 90.00 90.00 90.00
Space group P4/mmm (No. 123)
Inequivalent atoms, fractional coordinates:
La (0.000, 0.000, 0.000) [1 per cell]
La (0.000, 0.000, 0.265) [2 per cell]
Sm (0.500, 0.500, 0.132) [2 per cell]
Sm (0.500, 0.500, 0.396) [2 per cell]
Cd (0.000, 0.000, 0.500) [1 per cell]

A plane-wave DFT calculation with PBE was carried out for a relaxed structure of La6SmCd2.

Uncorrected energy: -74.746 eV/cell
Spin magnetization: 0.000 μB per atom
Energy of formation from the pure elements: -0.14 eV per atom
DOS(E_F): 1.26 states/eV per atom
Offset from the most stable computed form: 0.00 eV/f.u.

Lattice parameters (Å, degrees): 13.200 3.916 12.404 90.00 108.33 90.00
Space group C2/m (No. 12)
Inequivalent atoms, fractional coordinates:
La (0.022, 0.000, 0.337) [4 per cell]
La (0.181, 0.500, 0.877) [4 per cell]
La (0.190, 0.500, 0.590) [4 per cell]
Sm (0.000, 0.000, 0.000) [2 per cell]
Cd (0.144, 0.500, 0.197) [4 per cell]

A plane-wave DFT calculation with PBE was carried out for a relaxed structure of La4SmCd.

Uncorrected energy: -101.603 eV/cell
Spin magnetization: 0.000 μB per atom
Energy of formation from the pure elements: -0.01 eV per atom
DOS(E_F): 1.36 states/eV per atom
Offset from the most stable computed form: 0.56 eV/f.u.

Lattice parameters (Å, degrees): 5.817 21.139 6.635 90.00 90.00 90.00
Space group Cmc2_1 (No. 36)
Inequivalent atoms, fractional coordinates:
La (0.000, 0.043, 0.000) [4 per cell]
La (0.000, 0.190, 0.850) [4 per cell]
La (0.000, 0.257, 0.255) [4 per cell]
La (0.000, 0.441, 0.185) [4 per cell]
Sm (0.000, 0.367, 0.697) [4 per cell]
Cd (0.000, 0.110, 0.443) [4 per cell]

A plane-wave DFT calculation with PBE was carried out for a relaxed structure of La5Sm8Cd.

Uncorrected energy: -123.432 eV/cell
Spin magnetization: 0.000 μB per atom
Energy of formation from the pure elements: 0.11 eV per atom
DOS(E_F): 1.54 states/eV per atom

Lattice parameters (Å, degrees): 13.217 11.007 8.036 90.00 123.93 90.00
Space group Cm (No. 8)
Inequivalent atoms, fractional coordinates:
La (0.000, 0.000, 0.000) [2 per cell]
La (0.019, 0.500, 0.556) [2 per cell]
La (0.268, 0.173, 0.434) [4 per cell]
La (0.326, 0.000, 0.986) [2 per cell]
Sm (0.034, 0.000, 0.599) [2 per cell]
Sm (0.038, 0.300, 0.924) [4 per cell]
Sm (0.207, 0.500, 0.414) [2 per cell]
Sm (0.239, 0.289, 0.791) [4 per cell]
Sm (0.467, 0.270, 0.287) [4 per cell]
Cd (0.274, 0.500, 0.100) [2 per cell]

A plane-wave DFT calculation with PBE was carried out for a relaxed structure of La3SmCd4.

Uncorrected energy: -25.750 eV/cell
Spin magnetization: 0.158 μB per atom
Energy of formation from the pure elements: -0.32 eV per atom
DOS(E_F): 1.37 states/eV per atom

Lattice parameters (Å, degrees): 3.896 3.896 15.709 90.00 90.00 90.00
Space group P4/mmm (No. 123)
Inequivalent atoms, fractional coordinates:
La (0.000, 0.000, 0.000) [1 per cell]
La (0.000, 0.000, 0.255) [2 per cell]
Sm (0.000, 0.000, 0.500) [1 per cell]
Cd (0.500, 0.500, 0.127) [2 per cell]
Cd (0.500, 0.500, 0.384) [2 per cell]

A plane-wave DFT calculation with PBE was carried out for a relaxed structure of La2Sm3Cd3.

Uncorrected energy: -28.217 eV/cell
Spin magnetization: 0.000 μB per atom
Energy of formation from the pure elements: -0.18 eV per atom
DOS(E_F): 1.48 states/eV per atom
Offset from the most stable computed form: 0.30 eV/f.u.

Lattice parameters (Å, degrees): 5.032 5.062 9.421 90.00 90.00 90.00
Space group Pmmm (No. 47)
Inequivalent atoms, fractional coordinates:
La (0.000, 0.000, 0.242) [2 per cell]
Sm (0.500, 0.000, 0.500) [1 per cell]
Sm (0.500, 0.500, 0.230) [2 per cell]
Cd (0.000, 0.500, 0.000) [1 per cell]
Cd (0.000, 0.500, 0.500) [1 per cell]
Cd (0.500, 0.000, 0.000) [1 per cell]

A plane-wave DFT calculation with PBE was carried out for a relaxed structure of LaSm4Cd3.

Uncorrected energy: -83.599 eV/cell
Spin magnetization: 0.000 μB per atom
Energy of formation from the pure elements: -0.16 eV per atom
DOS(E_F): 1.41 states/eV per atom

Lattice parameters (Å, degrees): 5.4342 5.4342 27.7457 90.00 90.00 120.00
Space group R-3m (No. 166, hexagonal axes)
Inequivalent atoms, fractional coordinates:
La (0.0000, 0.0000, 0.0000) [3 per cell]
Sm (0.0000, 0.0000, 0.1314) [6 per cell]
Sm (0.0000, 0.0000, 0.3864) [6 per cell]
Cd (0.0000, 0.0000, 0.2576) [6 per cell]
Cd (0.0000, 0.0000, 0.5000) [3 per cell]

A plane-wave DFT calculation with PBE was carried out for a relaxed structure of La3Sm2Cd.

Uncorrected energy: -101.586 eV/cell
Spin magnetization: 0.000 μB per atom
Energy of formation from the pure elements: -0.04 eV per atom
DOS(E_F): 1.43 states/eV per atom
Offset from the most stable computed form: 0.28 eV/f.u.

Lattice parameters (Å, degrees): 10.713 6.290 11.640 90.00 90.00 90.00
Space group Cmcm (No. 63)
Inequivalent atoms, fractional coordinates:
La (0.000, 0.000, 0.000) [4 per cell]
La (0.155, 0.500, 0.000) [8 per cell]
Sm (0.172, 0.175, 0.250) [8 per cell]
Cd (0.000, 0.326, 0.750) [4 per cell]